Here is a relaxed structure of BaNaMoF6 from Alexandria. Energies are from PBE+U.

Cell lengths 5.5457, 5.8463, 5.8463 Å; angles 120.00, 90.00, 90.00 degrees
Last column: nearest neighbours and their distance in Å.
Fractional positions:
Ba 0.0000 0.3333 0.6667  6 F 2.64
Na 0.5000 0.6667 0.3333  6 F 2.33
Mo 0.5000 0.0000 0.0000  6 F 2.11
F 0.7122 0.7068 0.6953  1 Mo 2.11, 1 Na 2.33
F 0.7122 0.3047 0.0115  1 Mo 2.11, 1 Na 2.33
F 0.7122 0.9885 0.2932  1 Mo 2.11, 1 Na 2.33
F 0.2878 0.3047 0.2932  1 Mo 2.11, 1 Na 2.33
F 0.2878 0.7068 0.0115  1 Mo 2.11, 1 Na 2.33
F 0.2878 0.9885 0.6953  1 Mo 2.11, 1 Na 2.33

- Total magnetic moment: 3.0 μB per cell
- Space group: P312
- Uncorrected energy: -49.40 eV per cell